No. 1
# LiCa2NiH, optimized geometry, DFT PBE-GGA
data_LiCa2NiH
_chemical_formula_sum 'Li1 Ca2 Ni1 H1'
_cell_length_a 4.861
_cell_length_b 4.861
_cell_length_c 3.855
_cell_angle_alpha 90.00
_cell_angle_beta 90.00
_cell_angle_gamma 90.00
_space_group_name_H-M_alt 'P 4/m m m'
_space_group_IT_number 123
_space_group_name_Hall '-P 4 2'
loop_
_atom_site_label
_atom_site_fract_x
_atom_site_fract_y
_atom_site_fract_z
_atom_site_occupancy
Li1 0.000 0.000 0.000 1
Ca1 0.000 0.500 0.500 1
Ni1 0.500 0.500 0.000 1
H1 0.000 0.000 0.500 1
# DOS at the Fermi energy, states/eV/f.u.: 2.532
# E, eV per cell: -15.66



No. 2
# LiCa3Ni2H8, optimized geometry, DFT PBE-GGA
data_LiCa3Ni2H8
_chemical_formula_sum 'Li1 Ca3 Ni2 H8'
_cell_length_a 5.0503
_cell_length_b 5.0503
_cell_length_c 6.7321
_cell_angle_alpha 90.00
_cell_angle_beta 90.00
_cell_angle_gamma 120.00
_space_group_name_H-M_alt 'P -3 m 1'
_space_group_IT_number 164
_space_group_name_Hall '-P 3 2"'
loop_
_atom_site_label
_atom_site_fract_x
_atom_site_fract_y
_atom_site_fract_z
_atom_site_occupancy
Li1 0.0000 0.0000 0.0000 1
Ca1 0.0000 0.0000 0.5000 1
Ca2 0.3333 0.6667 0.1725 1
Ni1 0.3333 0.6667 0.7326 1
H1 0.1626 0.3252 0.8161 1
H2 0.3333 0.6667 0.5021 1
# DOS at the Fermi energy, states/eV/f.u.: 7.346
# E, eV per cell: -52.08



No. 3
# LiCa4Ni3H12, optimized geometry, DFT PBE-GGA
data_LiCa4Ni3H12
_chemical_formula_sum 'Li2 Ca8 Ni6 H24'
_cell_length_a 7.113
_cell_length_b 7.113
_cell_length_c 7.113
_cell_angle_alpha 90.00
_cell_angle_beta 90.00
_cell_angle_gamma 90.00
_space_group_name_H-M_alt 'I m -3 m'
_space_group_IT_number 229
_space_group_name_Hall '-I 4 2 3'
loop_
_atom_site_label
_atom_site_fract_x
_atom_site_fract_y
_atom_site_fract_z
_atom_site_occupancy
Li1 0.000 0.000 0.000 1
Ca1 0.250 0.250 0.250 1
Ni1 0.000 0.000 0.500 1
H1 0.000 0.000 0.266 1
H2 0.000 0.250 0.500 1
# DOS at the Fermi energy, states/eV/f.u.: 1.858
# E, eV per cell: -153.95



No. 4
# LiCaP3H8O13, optimized geometry, DFT PBE-GGA
data_LiCaP3H8O13
_chemical_formula_sum 'Li2 Ca2 P6 H16 O26'
_cell_length_a 7.327
_cell_length_b 7.773
_cell_length_c 10.268
_cell_angle_alpha 85.78
_cell_angle_beta 74.53
_cell_angle_gamma 77.72
_space_group_name_H-M_alt 'P -1'
_space_group_IT_number 2
loop_
_space_group_symop_operation_xyz
'x,y,z'
'-x,-y,-z'
loop_
_atom_site_label
_atom_site_fract_x
_atom_site_fract_y
_atom_site_fract_z
_atom_site_occupancy
Li1 0.000 0.000 0.000 1
Li2 0.000 0.500 0.500 1
Ca1 0.180 0.189 0.237 1
P1 0.247 0.802 0.482 1
P2 0.327 0.805 0.745 1
P3 0.410 0.540 0.272 1
H1 0.072 0.277 0.795 1
H2 0.088 0.622 0.087 1
H3 0.152 0.341 0.977 1
H4 0.187 0.187 0.567 1
H5 0.306 0.311 0.604 1
H6 0.309 0.853 0.096 1
H7 0.352 0.381 0.983 1
H8 0.359 0.968 0.965 1
O1 0.019 0.274 0.894 1
O2 0.089 0.710 0.560 1
O3 0.116 0.856 0.815 1
O4 0.174 0.294 0.616 1
O5 0.203 0.959 0.395 1
O6 0.220 0.381 0.040 1
O7 0.246 0.445 0.325 1
O8 0.271 0.973 0.057 1
O9 0.361 0.855 0.584 1
O10 0.382 0.591 0.745 1
O11 0.420 0.650 0.145 1
O12 0.424 0.657 0.394 1
O13 0.470 0.878 0.794 1
# DOS at the Fermi energy, states/eV/f.u.: 0.000
# E, eV per cell: -316.01



No. 5
# Li2CaHPb, optimized geometry, DFT PBE-GGA
data_Li2CaHPb
_chemical_formula_sum 'Li2 Ca1 H1 Pb1'
_cell_length_a 4.539
_cell_length_b 4.539
_cell_length_c 4.674
_cell_angle_alpha 90.00
_cell_angle_beta 90.00
_cell_angle_gamma 90.00
_space_group_name_H-M_alt 'P 4/m m m'
_space_group_IT_number 123
_space_group_name_Hall '-P 4 2'
loop_
_atom_site_label
_atom_site_fract_x
_atom_site_fract_y
_atom_site_fract_z
_atom_site_occupancy
Li1 0.000 0.500 0.000 1
Ca1 0.000 0.000 0.500 1
H1 0.000 0.000 0.000 1
Pb1 0.500 0.500 0.500 1
# DOS at the Fermi energy, states/eV/f.u.: 2.303
# E, eV per cell: -14.72



No. 6
# LiCa2H6Pd, optimized geometry, DFT PBE-GGA
data_LiCa2H6Pd
_chemical_formula_sum 'Li1 Ca2 H6 Pd1'
_cell_length_a 5.0811
_cell_length_b 5.0811
_cell_length_c 4.6461
_cell_angle_alpha 90.00
_cell_angle_beta 90.00
_cell_angle_gamma 120.00
_space_group_name_H-M_alt 'P -3 m 1'
_space_group_IT_number 164
_space_group_name_Hall '-P 3 2"'
loop_
_atom_site_label
_atom_site_fract_x
_atom_site_fract_y
_atom_site_fract_z
_atom_site_occupancy
Li1 0.0000 0.0000 0.0000 1
Ca1 0.3333 0.6667 0.7440 1
H1 0.1703 0.3407 0.2585 1
Pd1 0.0000 0.0000 0.5000 1
# DOS at the Fermi energy, states/eV/f.u.: 1.893
# E, eV per cell: -35.08



Number 1: magnetization 0.00 μB/atom. Number 2: magnetization 0.04 μB/atom. Number 3: magnetization 0.00 μB/atom. Number 4: magnetization 0.00 μB/atom. Number 5: magnetization 0.00 μB/atom. Number 6: magnetization 0.00 μB/atom.